Computed, not measured: an optimized crystal structure of BaPb2Br at the PBE-GGA level of DFT.

Its uncorrected energy is -3.180 eV per atom. Its density of states at the Fermi level is 3.82 states/eV/f.u. As for the formation energy without anion corrections: -0.4266 eV per atom. For the total magnetization, the calculation gives 0.0 μB per formula unit. As for the symmetry: No. 122.

Cell lengths 10.7080, 10.7080, 8.1611 Å; angles 49.00, 49.00, 90.00 degrees
Positions (direct):
Pb: 0.6005 0.1250 0.2500
Pb: 0.1495 0.6250 0.2500
Pb: 0.3750 0.3995 0.7500
Pb: 0.8750 0.8505 0.7500
Ba: 0.0000 0.0000 0.0000
Ba: 0.7500 0.2500 0.5000
Br: 0.5000 0.5000 0.0000
Br: 0.2500 0.7500 0.5000

=====

Computed, not measured: an optimized crystal structure of Ba2PbBr at the PBE-GGA level of DFT.

Its uncorrected energy is -3.123 eV per atom. Its density of states at the Fermi level is 3.68 states/eV/f.u. As for the formation energy without anion corrections: -0.8165 eV per atom. For the total magnetization, the calculation gives 0.9 μB per formula unit. As for the symmetry: No. 122.

Cell lengths 7.3954, 7.3954, 9.8624 Å; angles 67.98, 67.98, 90.00 degrees
Positions (direct):
Pb: 0.0000 0.0000 0.0000
Pb: 0.7500 0.2500 0.5000
Ba: 0.6136 0.1250 0.2500
Ba: 0.1364 0.6250 0.2500
Ba: 0.3750 0.3864 0.7500
Ba: 0.8750 0.8636 0.7500
Br: 0.5000 0.5000 0.0000
Br: 0.2500 0.7500 0.5000

=====

Computed, not measured: an optimized crystal structure of BaPb2Br2 at the PBE-GGA level of DFT.

Its uncorrected energy is -3.143 eV per atom. Its density of states at the Fermi level is 4.03 states/eV/f.u. As for the formation energy without anion corrections: -0.6063 eV per atom. For the total magnetization, the calculation gives 0.0 μB per formula unit. As for the symmetry: No. 139.

Cell lengths 6.2504, 6.2504, 6.6658 Å; angles 62.04, 62.04, 90.00 degrees
Positions (direct):
Pb: 0.3511 0.3511 0.2978
Pb: 0.6489 0.6489 0.7022
Ba: 0.0000 0.0000 0.0000
Br: 0.7500 0.2500 0.5000
Br: 0.2500 0.7500 0.5000

=====

Computed, not measured: an optimized crystal structure of Ba4PbBr3 at the PBE-GGA level of DFT.

Its uncorrected energy is -3.470 eV per atom. Its density of states at the Fermi level is 3.28 states/eV/f.u. As for the formation energy without anion corrections: -1.4177 eV per atom. For the total magnetization, the calculation gives 0.0 μB per formula unit. As for the symmetry: No. 139.

Cell lengths 6.8928, 6.8929, 8.4371 Å; angles 114.11, 114.11, 90.00 degrees
Positions (direct):
Pb: 0.0000 0.0000 0.0000
Ba: 0.0000 0.5000 0.0000
Ba: 0.5000 0.0000 0.0000
Ba: 0.2476 0.2475 0.4951
Ba: 0.7525 0.7524 0.5049
Br: 0.5000 0.5000 0.0000
Br: 0.7500 0.2500 0.5000
Br: 0.2500 0.7500 0.5000

=====

Computed, not measured: an optimized crystal structure of Ba5Pb2Br2 at the PBE-GGA level of DFT.

Its uncorrected energy is -3.295 eV per atom. Its density of states at the Fermi level is 0.55 states/eV/f.u. As for the formation energy without anion corrections: -1.0307 eV per atom. For the total magnetization, the calculation gives 0.0 μB per formula unit. As for the symmetry: No. 64.

Cell lengths 9.9576, 9.8850, 9.7007 Å; angles 120.63, 90.00, 90.00 degrees
Positions (direct):
Ba: 0.0000 0.0000 0.0000
Ba: 0.5000 0.5000 0.0000
Ba: 0.8614 0.7697 0.2477
Ba: 0.1386 0.4780 0.2477
Ba: 0.3614 0.9780 0.2477
Ba: 0.6386 0.2697 0.2477
Ba: 0.1386 0.2303 0.7523
Ba: 0.8614 0.5220 0.7523
Ba: 0.6386 0.0220 0.7523
Ba: 0.3614 0.7303 0.7523
Pb: 0.6584 0.8424 0.0000
Pb: 0.3416 0.1576 0.0000
Pb: 0.1584 0.6576 0.0000
Pb: 0.8416 0.3424 0.0000
Br: 0.0000 0.2045 0.4089
Br: 0.5000 0.7045 0.4089
Br: 0.0000 0.7955 0.5911
Br: 0.5000 0.2955 0.5911

=====

Computed, not measured: an optimized crystal structure of BaPbBr at the PBE-GGA level of DFT.

Its uncorrected energy is -3.184 eV per atom. Its density of states at the Fermi level is 1.73 states/eV/f.u. As for the formation energy without anion corrections: -0.7496 eV per atom. For the total magnetization, the calculation gives 0.8 μB per formula unit. As for the symmetry: No. 156.

Cell lengths 4.3807, 4.3807, 8.3729 Å; angles 90.00, 90.00, 120.00 degrees
Positions (direct):
Pb: 0.3333 0.6667 0.6942
Ba: 0.0000 0.0000 0.0366
Br: 0.6667 0.3333 0.2692

=====

Computed, not measured: an optimized crystal structure of BaPb2Br2 at the PBE-GGA level of DFT.

Its uncorrected energy is -3.088 eV per atom. Its density of states at the Fermi level is 1.84 states/eV/f.u. As for the formation energy without anion corrections: -0.5509 eV per atom. For the total magnetization, the calculation gives 0.0 μB per formula unit. As for the symmetry: No. 127.

Cell lengths 8.8065, 8.8065, 5.6183 Å; angles 90.00, 90.00, 90.00 degrees
Positions (direct):
Pb: 0.3805 0.8805 0.0000
Pb: 0.8805 0.6195 0.0000
Pb: 0.6195 0.1195 0.0000
Pb: 0.1195 0.3805 0.0000
Ba: 0.0000 0.0000 0.0000
Ba: 0.5000 0.5000 0.0000
Br: 0.2900 0.7900 0.5000
Br: 0.7900 0.7100 0.5000
Br: 0.7100 0.2100 0.5000
Br: 0.2100 0.2900 0.5000

=====

Computed, not measured: an optimized crystal structure of BaPb2Br at the PBE-GGA level of DFT.

Its uncorrected energy is -3.534 eV per atom. Its density of states at the Fermi level is 1.55 states/eV/f.u. As for the formation energy without anion corrections: -0.7809 eV per atom. For the total magnetization, the calculation gives 0.0 μB per formula unit. As for the symmetry: No. 99.

Cell lengths 4.0067, 4.0067, 9.4751 Å; angles 90.00, 90.00, 90.00 degrees
Positions (direct):
Pb: 0.0000 0.0000 0.0568
Pb: 0.5000 0.5000 0.2410
Ba: 0.0000 0.0000 0.5095
Br: 0.5000 0.5000 0.6926

=====

Computed, not measured: an optimized crystal structure of Ba2PbBr at the PBE-GGA level of DFT.

Its uncorrected energy is -3.366 eV per atom. Its density of states at the Fermi level is 1.73 states/eV/f.u. As for the formation energy without anion corrections: -1.0595 eV per atom. For the total magnetization, the calculation gives 0.0 μB per formula unit. As for the symmetry: No. 12.

Cell lengths 6.2442, 6.2442, 3.9690 Å; angles 90.07, 90.07, 89.99 degrees
Positions (direct):
Pb: 0.0000 0.5000 0.5000
Ba: 0.0000 0.0000 0.0000
Ba: 0.5000 0.5000 0.0000
Br: 0.5000 0.0000 0.5000

=====

Computed, not measured: an optimized crystal structure of BaPb2Br at the PBE-GGA level of DFT.

Its uncorrected energy is -3.428 eV per atom. Its density of states at the Fermi level is 1.65 states/eV/f.u. As for the formation energy without anion corrections: -0.6753 eV per atom. For the total magnetization, the calculation gives 0.0 μB per formula unit. As for the symmetry: No. 119.

Cell lengths 5.7747, 5.7746, 5.7699 Å; angles 120.01, 120.01, 90.03 degrees
Positions (direct):
Pb: 0.0000 0.0000 0.0000
Pb: 0.2500 0.7500 0.5000
Ba: 0.5000 0.5000 0.0000
Br: 0.7500 0.2500 0.5000

=====

Computed, not measured: an optimized crystal structure of Ba2PbBr at the PBE-GGA level of DFT.

Its uncorrected energy is -3.253 eV per atom. Its density of states at the Fermi level is 4.92 states/eV/f.u. As for the formation energy without anion corrections: -0.9460 eV per atom. For the total magnetization, the calculation gives 1.0 μB per formula unit. As for the symmetry: No. 225.

Cell lengths 6.0739, 6.0739, 6.0739 Å; angles 60.00, 60.00, 60.00 degrees
Positions (direct):
Pb: 0.5000 0.5000 0.5000
Ba: 0.2500 0.2500 0.2500
Ba: 0.7500 0.7500 0.7500
Br: 0.0000 0.0000 0.0000

=====

Computed, not measured: an optimized crystal structure of BaPb2Br at the PBE-GGA level of DFT.

Its uncorrected energy is -3.277 eV per atom. Its density of states at the Fermi level is 1.18 states/eV/f.u. As for the formation energy without anion corrections: -0.5244 eV per atom. For the total magnetization, the calculation gives 0.0 μB per formula unit. As for the symmetry: No. 47.

Cell lengths 4.0305, 6.3118, 6.1830 Å; angles 90.00, 90.00, 90.00 degrees
Positions (direct):
Pb: 0.0000 0.0000 0.0106
Pb: 0.0000 0.0000 0.4894
Ba: 0.5000 0.5000 0.2500
Br: 0.5000 0.5000 0.7500

=====

Question: Among the records above, which one has the lowest uncorrected energy?
Answer: number 8